1) Material: NaCd2Au
Method: DFT, PBE
State: optimized geometry

Lattice parameters (Å, degrees): 4.832 4.832 5.543 64.16 64.16 60.00
Fractional coordinates of all 4 atoms:
Na  0.489  0.489  0.533
Cd  0.048  0.048  0.857
Cd  0.273  0.273  0.181
Au  0.690  0.690  0.929

Summary:
ρ in g/cm³: 7.63
Symmetry: R3m, No. 160
D(E_F) in states/eV per atom: 0.30
Magnetic moment in Bohr magnetons per cell: 0.00

2) Material: NaCd2Au
Method: DFT, PBE
State: optimized geometry

Lattice parameters (Å, degrees): 8.493 8.493 6.661 50.39 50.39 90.00
Fractional coordinates of all 8 atoms:
Na  0.500  0.500  0.000
Na  0.250  0.750  0.500
Au  0.000  0.000  0.000
Au  0.750  0.250  0.500
Cd  0.676  0.125  0.250
Cd  0.074  0.625  0.250
Cd  0.375  0.324  0.750
Cd  0.875  0.926  0.750

Summary:
ρ in g/cm³: 7.11
Symmetry: I-42d, No. 122
D(E_F) in states/eV per atom: 0.26
Magnetic moment in Bohr magnetons per cell: 0.00

Most stable of them? 1).

1) Material: NaCd2Au
Method: DFT, PBE
State: optimized geometry

Lattice parameters (Å, degrees): 4.447 4.376 4.376 90.00 90.00 90.00
Fractional coordinates of all 4 atoms:
Na  0.500  0.500  0.500
Au  0.500  0.000  0.000
Cd  0.000  0.000  0.500
Cd  0.000  0.500  0.000

Summary:
ρ in g/cm³: 8.67
Symmetry: P4/mmm, No. 123
D(E_F) in states/eV per atom: 0.45
Magnetic moment in Bohr magnetons per cell: 0.00

2) Material: NaCd2Au
Method: DFT, PBE
State: optimized geometry

Lattice parameters (Å, degrees): 3.588 3.588 6.827 90.00 90.00 90.00
Fractional coordinates of all 4 atoms:
Na  0.500  0.500  0.500
Au  0.500  0.500  0.000
Cd  0.000  0.000  0.773
Cd  0.000  0.000  0.227

Summary:
ρ in g/cm³: 8.40
Symmetry: P4/mmm, No. 123
D(E_F) in states/eV per atom: 0.25
Magnetic moment in Bohr magnetons per cell: 0.00

3) Material: NaCd2Au
Method: DFT, PBE
State: optimized geometry

Lattice parameters (Å, degrees): 5.678 8.073 16.537 90.00 90.00 90.00
Fractional coordinates of all 32 atoms:
Na  0.455  0.250  0.858
Na  0.955  0.750  0.642
Na  0.545  0.750  0.142
Na  0.045  0.250  0.358
Na  0.735  0.250  0.607
Na  0.235  0.750  0.893
Na  0.265  0.750  0.393
Na  0.765  0.250  0.107
Cd  0.947  0.055  0.786
Cd  0.447  0.945  0.714
Cd  0.053  0.555  0.214
Cd  0.553  0.445  0.286
Cd  0.053  0.945  0.214
Cd  0.553  0.055  0.286
Cd  0.947  0.445  0.786
Cd  0.447  0.555  0.714
Cd  0.730  0.556  0.966
Cd  0.230  0.444  0.534
Cd  0.270  0.056  0.034
Cd  0.770  0.944  0.466
Cd  0.270  0.444  0.034
Cd  0.770  0.556  0.466
Cd  0.730  0.944  0.966
Cd  0.230  0.056  0.534
Au  0.229  0.250  0.681
Au  0.729  0.750  0.819
Au  0.771  0.750  0.319
Au  0.271  0.250  0.181
Au  0.962  0.250  0.932
Au  0.462  0.750  0.568
Au  0.038  0.750  0.068
Au  0.538  0.250  0.432

Summary:
ρ in g/cm³: 7.79
Symmetry: Pnma, No. 62
D(E_F) in states/eV per atom: 0.34
Magnetic moment in Bohr magnetons per cell: 0.00

Most stable of them? 3).

1) Material: Na3CdAu2
Method: DFT, PBE
State: optimized geometry

Lattice parameters (Å, degrees): 6.226 6.224 8.965 110.31 110.32 90.00
Fractional coordinates of all 12 atoms:
Na  0.440  0.681  0.362
Na  0.560  0.319  0.638
Na  0.078  0.819  0.638
Na  0.922  0.181  0.362
Na  0.500  0.750  0.000
Na  0.500  0.250  0.000
Cd  0.000  0.250  0.000
Cd  0.000  0.750  0.000
Au  0.364  0.125  0.250
Au  0.636  0.875  0.750
Au  0.113  0.375  0.750
Au  0.887  0.625  0.250

Summary:
ρ in g/cm³: 6.31
Symmetry: Ibam, No. 72
D(E_F) in states/eV per atom: 0.22
Magnetic moment in Bohr magnetons per cell: 0.00

2) Material: Na3CdAu2
Method: DFT, PBE
State: optimized geometry

Lattice parameters (Å, degrees): 7.827 9.416 9.115 90.00 117.16 90.00
Fractional coordinates of all 24 atoms:
Na  0.435  0.885  0.142
Na  0.065  0.385  0.358
Na  0.565  0.115  0.858
Na  0.935  0.615  0.642
Na  0.463  0.472  0.289
Na  0.037  0.972  0.211
Na  0.537  0.528  0.711
Na  0.963  0.028  0.789
Na  0.789  0.667  0.191
Na  0.711  0.167  0.309
Na  0.211  0.333  0.809
Na  0.289  0.833  0.691
Cd  0.571  0.846  0.531
Cd  0.929  0.346  0.969
Cd  0.429  0.154  0.469
Cd  0.071  0.654  0.031
Au  0.872  0.883  0.448
Au  0.628  0.383  0.052
Au  0.128  0.117  0.552
Au  0.372  0.617  0.948
Au  0.229  0.682  0.380
Au  0.271  0.182  0.120
Au  0.771  0.318  0.620
Au  0.729  0.818  0.880

Summary:
ρ in g/cm³: 6.39
Symmetry: P2_1/c, No. 14
D(E_F) in states/eV per atom: 0.20
Magnetic moment in Bohr magnetons per cell: 0.00

Most stable of them? 2).

1) Material: Na3CdAu
Method: DFT, PBE
State: optimized geometry

Lattice parameters (Å, degrees): 5.636 5.636 5.636 90.00 90.00 90.00
Fractional coordinates of all 5 atoms:
Na  0.000  0.500  0.000
Na  0.000  0.000  0.500
Na  0.500  0.000  0.000
Au  0.500  0.500  0.500
Cd  0.000  0.000  0.000

Summary:
ρ in g/cm³: 3.51
Symmetry: Pm-3m, No. 221
D(E_F) in states/eV per atom: 0.53
Magnetic moment in Bohr magnetons per cell: 0.00

2) Material: Na3CdAu
Method: DFT, PBE
State: optimized geometry

Lattice parameters (Å, degrees): 5.567 5.567 5.567 90.00 90.00 90.00
Fractional coordinates of all 5 atoms:
Na  0.000  0.500  0.000
Na  0.000  0.000  0.500
Na  0.500  0.000  0.000
Au  0.000  0.000  0.000
Cd  0.500  0.500  0.500

Summary:
ρ in g/cm³: 3.64
Symmetry: Pm-3m, No. 221
D(E_F) in states/eV per atom: 0.53
Magnetic moment in Bohr magnetons per cell: 0.00

3) Material: Na3CdAu
Method: DFT, PBE
State: optimized geometry

Lattice parameters (Å, degrees): 8.564 5.651 7.892 105.95 125.03 101.79
Fractional coordinates of all 10 atoms:
Na  0.898  0.867  0.219
Na  0.248  0.503  0.338
Na  0.752  0.497  0.662
Na  0.647  0.318  0.175
Na  0.102  0.133  0.781
Na  0.353  0.682  0.825
Cd  0.736  0.060  0.826
Cd  0.264  0.940  0.174
Au  0.629  0.850  0.367
Au  0.371  0.150  0.633

Summary:
ρ in g/cm³: 4.71
Symmetry: P-1, No. 2
D(E_F) in states/eV per atom: 0.33
Magnetic moment in Bohr magnetons per cell: 0.00

Most stable of them? 3).

1) Material: NaCd6Au4
Method: DFT, PBE
State: optimized geometry

Lattice parameters (Å, degrees): 7.285 7.285 7.285 89.49 120.29 120.29
Fractional coordinates of all 11 atoms:
Na  0.000  0.000  0.000
Cd  0.000  0.884  0.533
Cd  0.000  0.533  0.884
Cd  0.648  0.116  0.116
Cd  0.500  0.000  0.500
Cd  0.352  0.467  0.467
Cd  0.500  0.500  0.000
Au  0.000  0.250  0.602
Au  0.648  0.398  0.398
Au  0.000  0.602  0.250
Au  0.352  0.750  0.750

Summary:
ρ in g/cm³: 9.06
Symmetry: I-42m, No. 121
D(E_F) in states/eV per atom: 0.28
Magnetic moment in Bohr magnetons per cell: 0.00

2) Material: NaCd6Au4
Method: DFT, PBE
State: optimized geometry

Lattice parameters (Å, degrees): 4.405 8.111 8.111 120.00 90.00 90.00
Fractional coordinates of all 11 atoms:
Na  0.000  0.000  0.000
Cd  0.000  0.533  0.067
Cd  0.500  0.612  0.806
Cd  0.000  0.533  0.467
Cd  0.000  0.933  0.467
Cd  0.500  0.194  0.806
Cd  0.500  0.194  0.388
Au  0.500  0.796  0.592
Au  0.500  0.408  0.204
Au  0.500  0.796  0.204
Au  0.000  0.333  0.667

Summary:
ρ in g/cm³: 9.83
Symmetry: P-6m2, No. 187
D(E_F) in states/eV per atom: 0.36
Magnetic moment in Bohr magnetons per cell: 0.00

Most stable of them? 2).

1) Material: Na3Cd3Au2
Method: DFT, PBE
State: optimized geometry

Lattice parameters (Å, degrees): 4.900 5.568 7.816 79.47 71.66 88.83
Fractional coordinates of all 8 atoms:
Na  0.848  0.420  0.314
Na  0.152  0.580  0.686
Na  0.000  0.000  0.000
Cd  0.373  0.838  0.259
Cd  0.500  0.500  0.000
Cd  0.627  0.162  0.741
Au  0.781  0.895  0.440
Au  0.219  0.105  0.560

Summary:
ρ in g/cm³: 6.68
Symmetry: P-1, No. 2
D(E_F) in states/eV per atom: 0.23
Magnetic moment in Bohr magnetons per cell: 0.00

2) Material: Na3Cd3Au2
Method: DFT, PBE
State: optimized geometry

Lattice parameters (Å, degrees): 5.886 8.153 17.012 90.00 90.00 90.00
Fractional coordinates of all 32 atoms:
Na  0.101  0.472  0.390
Na  0.601  0.028  0.610
Na  0.899  0.528  0.890
Na  0.399  0.972  0.110
Na  0.899  0.528  0.610
Na  0.399  0.972  0.390
Na  0.101  0.472  0.110
Na  0.601  0.028  0.890
Na  0.654  0.341  0.250
Na  0.154  0.159  0.750
Na  0.346  0.659  0.750
Na  0.846  0.841  0.250
Cd  0.156  0.176  0.250
Cd  0.656  0.324  0.750
Cd  0.844  0.824  0.750
Cd  0.344  0.676  0.250
Cd  0.591  0.321  0.466
Cd  0.091  0.179  0.534
Cd  0.409  0.679  0.966
Cd  0.909  0.821  0.034
Cd  0.409  0.679  0.534
Cd  0.909  0.821  0.466
Cd  0.591  0.321  0.034
Cd  0.091  0.179  0.966
Au  0.896  0.122  0.383
Au  0.396  0.378  0.617
Au  0.104  0.878  0.883
Au  0.604  0.622  0.117
Au  0.104  0.878  0.617
Au  0.604  0.622  0.383
Au  0.896  0.122  0.117
Au  0.396  0.378  0.883

Summary:
ρ in g/cm³: 6.51
Symmetry: Pnma, No. 62
D(E_F) in states/eV per atom: 0.35
Magnetic moment in Bohr magnetons per cell: 0.00

Most stable of them? 2).

1) Material: Na3Cd2Au3
Method: DFT, PBE
State: optimized geometry

Lattice parameters (Å, degrees): 4.472 6.314 14.703 90.00 90.00 110.74
Fractional coordinates of all 16 atoms:
Na  0.937  0.873  0.387
Na  0.063  0.127  0.887
Na  0.937  0.873  0.113
Na  0.063  0.127  0.613
Na  0.650  0.300  0.250
Na  0.350  0.700  0.750
Cd  0.769  0.538  0.909
Cd  0.231  0.462  0.409
Cd  0.769  0.538  0.591
Cd  0.231  0.462  0.091
Au  0.599  0.197  0.452
Au  0.401  0.803  0.952
Au  0.599  0.197  0.048
Au  0.401  0.803  0.548
Au  0.365  0.730  0.250
Au  0.635  0.270  0.750

Summary:
ρ in g/cm³: 7.57
Symmetry: Cmcm, No. 63
D(E_F) in states/eV per atom: 0.31
Magnetic moment in Bohr magnetons per cell: 0.00

2) Material: Na3Cd2Au3
Method: DFT, PBE
State: optimized geometry

Lattice parameters (Å, degrees): 5.763 8.556 8.556 120.00 90.00 90.00
Fractional coordinates of all 16 atoms:
Na  0.750  0.253  0.000
Na  0.750  0.747  0.747
Na  0.750  0.000  0.253
Na  0.250  0.747  0.000
Na  0.250  0.253  0.253
Na  0.250  0.000  0.747
Cd  0.000  0.333  0.667
Cd  0.500  0.667  0.333
Cd  0.000  0.667  0.333
Cd  0.500  0.333  0.667
Au  0.750  0.594  0.000
Au  0.750  0.406  0.406
Au  0.750  0.000  0.594
Au  0.250  0.406  0.000
Au  0.250  0.594  0.594
Au  0.250  0.000  0.406

Summary:
ρ in g/cm³: 8.04
Symmetry: P6_3/mcm, No. 193
D(E_F) in states/eV per atom: 0.29
Magnetic moment in Bohr magnetons per cell: 0.00

Most stable of them? 1).

1) Material: NaCdAu4
Method: DFT, PBE
State: optimized geometry

Lattice parameters (Å, degrees): 5.593 5.593 5.593 60.00 60.00 60.00
Fractional coordinates of all 6 atoms:
Na  0.000  0.000  0.000
Au  0.625  0.625  0.125
Au  0.625  0.125  0.625
Au  0.625  0.625  0.625
Au  0.125  0.625  0.625
Cd  0.250  0.250  0.250

Summary:
ρ in g/cm³: 12.40
Symmetry: F-43m, No. 216
D(E_F) in states/eV per atom: 0.58
Magnetic moment in Bohr magnetons per cell: 0.00

2) Material: NaCdAu4
Method: DFT, PBE
State: optimized geometry

Lattice parameters (Å, degrees): 6.060 6.929 7.718 116.67 115.19 90.00
Fractional coordinates of all 12 atoms:
Na  0.910  0.795  0.590
Na  0.090  0.205  0.410
Cd  0.231  0.451  0.901
Cd  0.769  0.549  0.099
Au  0.297  0.688  0.375
Au  0.464  0.088  0.772
Au  0.000  0.196  0.000
Au  0.536  0.316  0.228
Au  0.703  0.312  0.625
Au  0.536  0.912  0.228
Au  0.000  0.804  0.000
Au  0.464  0.684  0.772

Summary:
ρ in g/cm³: 12.04
Symmetry: C2/m, No. 12
D(E_F) in states/eV per atom: 0.13
Magnetic moment in Bohr magnetons per cell: 0.00

Most stable of them? 1).

1) Material: Na2Cd3Au
Method: DFT, PBE
State: optimized geometry

Lattice parameters (Å, degrees): 3.243 5.000 8.711 90.00 90.00 90.00
Fractional coordinates of all 6 atoms:
Na  0.000  0.500  0.018
Na  0.000  0.000  0.486
Cd  0.500  0.000  0.834
Cd  0.500  0.000  0.172
Cd  0.500  0.500  0.658
Au  0.500  0.500  0.332

Summary:
ρ in g/cm³: 6.82
Symmetry: Pmm2, No. 25
D(E_F) in states/eV per atom: 0.42
Magnetic moment in Bohr magnetons per cell: 0.00

2) Material: Na2Cd3Au
Method: DFT, PBE
State: optimized geometry

Lattice parameters (Å, degrees): 5.898 5.898 9.470 90.00 90.00 120.00
Fractional coordinates of all 12 atoms:
Na  0.667  0.333  0.441
Na  0.333  0.667  0.559
Na  0.333  0.667  0.941
Na  0.667  0.333  0.059
Cd  0.168  0.336  0.250
Cd  0.336  0.168  0.750
Cd  0.832  0.664  0.750
Cd  0.168  0.832  0.250
Cd  0.832  0.168  0.750
Cd  0.664  0.832  0.250
Au  0.000  0.000  0.500
Au  0.000  0.000  0.000

Summary:
ρ in g/cm³: 6.75
Symmetry: P6_3/mmc, No. 194
D(E_F) in states/eV per atom: 0.17
Magnetic moment in Bohr magnetons per cell: 0.00

Most stable of them? 2).